Here is a relaxed structure of Cs2Rb2OsO6 from the Alexandria database. Energies are from PBE.

Calculated values
Theoretical density: 4.8 g cm⁻³
Formation energy (no corrections): -1.347 eV per atom
SG: C2/m (12)

a = 6.571 Å, b = 6.571 Å, c = 6.848 Å
α = 98.88°, β = 98.88°, γ = 116.70°
Fractional coordinates of all 11 atoms:
1 Cs 0.170 0.830 0.000
2 Cs 0.830 0.170 0.000
3 Rb 0.344 0.656 0.500
4 Rb 0.656 0.344 0.500
5 Os 0.000 0.000 0.500
6 O 0.045 0.284 0.662
7 O 0.167 0.167 0.323
8 O 0.284 0.045 0.662
9 O 0.716 0.955 0.338
10 O 0.833 0.833 0.677
11 O 0.955 0.716 0.338